(P)
Entry from Alexandria via LeMat-Bulk: VRhSN2 after structural relaxation (GGA-PBE).

Values from the calculation:
M_tot: 0.0 μB/f.u.

Unit cell a=3.6768 b=3.6768 c=4.9540 alpha=90.00 beta=90.00 gamma=90.00
Fractional positions:
1 N 0.5000 0.0000 0.0000
2 V 0.0000 0.0000 0.0000
3 N 0.0000 0.5000 0.0000
4 Rh 0.5000 0.5000 0.5000
5 S 0.0000 0.0000 0.5000

(Q)
Entry from Alexandria via LeMat-Bulk: VRhSN2 after structural relaxation (GGA-PBE).

Values from the calculation:
M_tot: 0.0 μB/f.u.

Unit cell a=3.7751 b=3.7751 c=4.8725 alpha=90.00 beta=90.00 gamma=90.00
Fractional positions:
1 N 0.5000 0.0000 0.0000
2 N 0.0000 0.5000 0.0000
3 V 0.5000 0.5000 0.5000
4 S 0.0000 0.0000 0.5000
5 Rh 0.0000 0.0000 0.0000

Which of them is the most stable, and which is the least stable? (P) and (Q), in that order.

(P)
Entry from Alexandria via LeMat-Bulk: RhWS2N after structural relaxation (GGA-PBE).

Values from the calculation:
M_tot: 0.0 μB/f.u.

Unit cell a=4.7635 b=4.7635 c=3.7663 alpha=90.00 beta=90.00 gamma=90.00
Fractional positions:
1 Rh 0.5000 0.5000 0.5000
2 S 0.0000 0.5000 0.0000
3 S 0.5000 0.0000 0.0000
4 W 0.0000 0.0000 0.0000
5 N 0.0000 0.0000 0.5000

(Q)
Entry from Alexandria via LeMat-Bulk: RhWS2N after structural relaxation (GGA-PBE).

Values from the calculation:
M_tot: 3.0 μB/f.u.

Unit cell a=4.8047 b=4.8047 c=3.5870 alpha=90.00 beta=90.00 gamma=90.00
Last column: magnetic moment on the atom in μB.
Fractional positions:
1 N 0.0000 0.0000 0.5000  0.03
2 Rh 0.0000 0.0000 0.0000  0.03
3 S 0.5000 0.0000 0.0000  -0.10
4 S 0.0000 0.5000 0.0000  -0.10
5 W 0.5000 0.5000 0.5000  2.47

Which of them is the most stable, and which is the least stable? (P) and (Q), in that order.

(P)
Entry from Alexandria via LeMat-Bulk: YRhSN2 after structural relaxation (GGA-PBE).

Values from the calculation:
M_tot: 0.0 μB/f.u.

Unit cell a=3.9374 b=3.9374 c=4.7804 alpha=90.00 beta=90.00 gamma=90.00
Fractional positions:
1 N 0.5000 0.0000 0.0000
2 Rh 0.0000 0.0000 0.0000
3 N 0.0000 0.5000 0.0000
4 S 0.0000 0.0000 0.5000
5 Y 0.5000 0.5000 0.5000

(Q)
Entry from Alexandria via LeMat-Bulk: YRhSN2 after structural relaxation (GGA-PBE).

Values from the calculation:
M_tot: 5.6 μB/f.u.

Unit cell a=4.3579 b=4.3579 c=5.4274 alpha=90.00 beta=90.00 gamma=90.00
Last column: magnetic moment on the atom in μB.
Fractional positions:
1 Y 0.0000 0.0000 0.0000  0.12
2 N 0.0000 0.5000 0.0000  1.16
3 N 0.5000 0.0000 0.0000  1.16
4 Rh 0.5000 0.5000 0.5000  1.75
5 S 0.0000 0.0000 0.5000  0.22

Which of them is the most stable, and which is the least stable? (P) and (Q), in that order.

(P)
Entry from Alexandria via LeMat-Bulk: ZnRhSN2 after structural relaxation (GGA-PBE).

Values from the calculation:
M_tot: 2.2 μB/f.u.

Unit cell a=3.7275 b=3.7275 c=5.1513 alpha=90.00 beta=90.00 gamma=90.00
Last column: magnetic moment on the atom in μB.
Fractional positions:
1 S 0.0000 0.0000 0.5000  0.13
2 Zn 0.0000 0.0000 0.0000  0.05
3 N 0.0000 0.5000 0.0000  0.77
4 Rh 0.5000 0.5000 0.5000  -0.02
5 N 0.5000 0.0000 0.0000  0.77

(Q)
Entry from Alexandria via LeMat-Bulk: ZnRhSN2 after structural relaxation (GGA-PBE).

Values from the calculation:
M_tot: 0.1 μB/f.u.

Unit cell a=3.7497 b=3.7497 c=5.3842 alpha=90.00 beta=90.00 gamma=90.00
Fractional positions:
1 N 0.0000 0.5000 0.0000
2 Zn 0.5000 0.5000 0.5000
3 N 0.5000 0.0000 0.0000
4 Rh 0.0000 0.0000 0.0000
5 S 0.0000 0.0000 0.5000

Which of them is the most stable, and which is the least stable? (Q) and (P), in that order.

(P)
Entry from Alexandria via LeMat-Bulk: ZrRhS2N after structural relaxation (GGA-PBE).

Values from the calculation:
M_tot: 3.5 μB/f.u.

Unit cell a=5.0210 b=5.0210 c=4.1216 alpha=90.00 beta=90.00 gamma=90.00
Last column: magnetic moment on the atom in μB.
Fractional positions:
1 N 0.0000 0.0000 0.5000  0.70
2 Zr 0.0000 0.0000 0.0000  -0.04
3 Rh 0.5000 0.5000 0.5000  1.77
4 S 0.0000 0.5000 0.0000  0.24
5 S 0.5000 0.0000 0.0000  0.24

(Q)
Entry from Alexandria via LeMat-Bulk: ZrRhS2N after structural relaxation (GGA-PBE).

Values from the calculation:
M_tot: 0.5 μB/f.u.

Unit cell a=4.8140 b=3.6474 c=4.8140 alpha=90.00 beta=90.00 gamma=90.00
Last column: magnetic moment on the atom in μB.
Fractional positions:
1 S 0.5000 0.0000 0.0000  -0.02
2 N 0.0000 0.5000 0.0000  0.01
3 Rh 0.0000 0.0000 0.0000  0.02
4 Zr 0.5000 0.5000 0.5000  0.40
5 S 0.0000 0.0000 0.5000  -0.01

Which of them is the most stable, and which is the least stable? (Q) and (P), in that order.

(P)
Entry from Alexandria via LeMat-Bulk: SbRhSeN2 after structural relaxation (GGA-PBE).

Values from the calculation:
M_tot: 2.8 μB/f.u.

Unit cell a=3.9369 b=3.9369 c=5.7911 alpha=90.00 beta=90.00 gamma=90.00
Last column: magnetic moment on the atom in μB.
Fractional positions:
1 N 0.0000 0.5000 0.0000  0.51
2 Se 0.0000 0.0000 0.5000  0.08
3 Sb 0.0000 0.0000 0.0000  -0.02
4 N 0.5000 0.0000 0.0000  0.51
5 Rh 0.5000 0.5000 0.5000  1.17

(Q)
Entry from Alexandria via LeMat-Bulk: SbRhSeN2 after structural relaxation (GGA-PBE).

Values from the calculation:
M_tot: 0.6 μB/f.u.

Unit cell a=3.9645 b=3.9645 c=5.1908 alpha=90.00 beta=90.00 gamma=90.00
Last column: magnetic moment on the atom in μB.
Fractional positions:
1 Rh 0.0000 0.0000 0.0000  0.05
2 N 0.5000 0.0000 0.0000  0.23
3 Se 0.0000 0.0000 0.5000  0.00
4 N 0.0000 0.5000 0.0000  0.23
5 Sb 0.5000 0.5000 0.5000  -0.02

Which of them is the most stable, and which is the least stable? (Q) and (P), in that order.

(P)
Entry from Alexandria via LeMat-Bulk: SbTe2RhN after structural relaxation (GGA-PBE).

Values from the calculation:
M_tot: 0.0 μB/f.u.

Unit cell a=5.5200 b=5.5200 c=3.7191 alpha=90.00 beta=90.00 gamma=90.00
Fractional positions:
1 Te 0.0000 0.5000 0.0000
2 Te 0.5000 0.0000 0.0000
3 Sb 0.5000 0.5000 0.5000
4 N 0.0000 0.0000 0.5000
5 Rh 0.0000 0.0000 0.0000

(Q)
Entry from Alexandria via LeMat-Bulk: SbTe2RhN after structural relaxation (GGA-PBE).

Values from the calculation:
M_tot: 0.0 μB/f.u.

Unit cell a=5.1797 b=5.1797 c=5.0529 alpha=90.00 beta=90.00 gamma=90.00
Fractional positions:
1 Te 0.0000 0.5000 0.0000
2 Te 0.5000 0.0000 0.0000
3 N 0.5000 0.5000 0.5000
4 Sb 0.0000 0.0000 0.5000
5 Rh 0.0000 0.0000 0.0000

(R)
Entry from Alexandria via LeMat-Bulk: SbTe2RhN after structural relaxation (GGA-PBE).

Values from the calculation:
M_tot: 0.5 μB/f.u.

Unit cell a=5.7218 b=5.7218 c=3.8017 alpha=90.00 beta=90.00 gamma=90.00
Last column: magnetic moment on the atom in μB.
Fractional positions:
1 Te 0.0000 0.5000 0.0000  0.00
2 Te 0.5000 0.0000 0.0000  0.00
3 N 0.0000 0.0000 0.5000  0.01
4 Rh 0.5000 0.5000 0.5000  0.48
5 Sb 0.0000 0.0000 0.0000  0.00

Which of them is the most stable, and which is the least stable? (P) and (Q), in that order.

(P)
Entry from Alexandria via LeMat-Bulk: ScRhN2 after structural relaxation (GGA-PBE).

Values from the calculation:
M_tot: 0.0 μB/f.u.

Unit cell a=4.5960 b=4.5960 c=5.9966 alpha=67.47 beta=67.47 gamma=90.00
Fractional positions:
1 Sc 0.5000 0.5000 0.0000
2 N 0.1036 0.6250 0.2500
3 Rh 0.0000 0.0000 0.0000
4 Rh 0.7500 0.2500 0.5000
5 N 0.6464 0.1250 0.2500
6 N 0.3750 0.3536 0.7500
7 N 0.8750 0.8964 0.7500
8 Sc 0.2500 0.7500 0.5000

(Q)
Entry from Alexandria via LeMat-Bulk: ScRhN2 after structural relaxation (GGA-PBE).

Values from the calculation:
M_tot: 0.0 μB/f.u.

Unit cell a=3.8827 b=3.8827 c=3.8827 alpha=60.00 beta=60.00 gamma=60.00
Fractional positions:
1 Sc 0.0000 0.0000 0.0000
2 Rh 0.5000 0.5000 0.5000
3 N 0.2500 0.2500 0.2500
4 N 0.7500 0.7500 0.7500

(R)
Entry from Alexandria via LeMat-Bulk: ScRhN2 after structural relaxation (GGA-PBE).

Values from the calculation:
M_tot: 0.0 μB/f.u.

Unit cell a=6.1990 b=6.1990 c=6.1990 alpha=30.59 beta=30.59 gamma=30.59
Fractional positions:
1 Rh 0.0000 0.0000 0.0000
2 N 0.1045 0.1045 0.1045
3 Sc 0.5000 0.5000 0.5000
4 N 0.8955 0.8955 0.8955

Which of them is the most stable, and which is the least stable? (P) and (Q), in that order.